Compound: GaCu7Au4
Source: Alexandria
Functional: PBE
Structure: optimized geometry

The value obtained for the density is 11.7 g/cm³. The calculation puts the density of states at the Fermi level at 0.228 states/eV per atom. The crystal system is monoclinic. For the formation energy, the calculation gives 0.071 eV per atom. The magnetization is 0.000 μB per atom.

The structure belongs to space group C2/m (No. 12); the cell edges are 9.376, 4.587 and 9.554 Å and the angles 90.00°, 116.32° and 90.00°. The distinct sites, in fractional coordinates, are Ga at (0.000, 0.000, 0.000), Cu at (0.000, 0.500, 0.000), Cu at (0.124, 0.000, 0.474), Cu at (0.159, 0.500, 0.617), Cu at (0.216, 0.500, 0.918), Au at (0.084, 0.500, 0.307) and Au at (0.155, 0.000, 0.771).

Compound: TbPm2Nd7
Source: Alexandria
Functional: PBE
Structure: optimized geometry

The value obtained for the density is 6.6 g/cm³. The energy above the lowest structure with this stoichiometry is 0.0 kJ per mole of atoms. The calculation puts the density of states at the Fermi level at 1.482 states/eV per atom. The crystal system is orthorhombic. For the formation energy, the calculation gives 0.369 eV per atom. The magnetization is 0.000 μB per atom.

The structure belongs to space group Cmmm (No. 65); the cell edges are 12.124, 16.975 and 3.556 Å and the angles 90.00°, 90.00° and 90.00°. The distinct sites, in fractional coordinates, are Tb at (0.000, 0.000, 0.000), Pm at (0.000, 0.169, 0.500), Nd at (0.000, 0.323, 0.000), Nd at (0.000, 0.500, 0.500) and Nd at (0.245, 0.373, 0.500).

Compound: CaMgCo2W
Source: Alexandria
Functional: PBE
Structure: optimized geometry

The value obtained for the density is 6.0 g/cm³. The calculation puts the density of states at the Fermi level at 1.659 states/eV per atom. The crystal system is tetragonal. For the formation energy, the calculation gives 1.545 eV per atom. The magnetization is 1.010 μB per atom.

The structure belongs to space group P4/mmm (No. 123); the cell edges are 4.545, 4.545 and 4.868 Å and the angles 90.00°, 90.00° and 90.00°. The distinct sites, in fractional coordinates, are Ca at (0.000, 0.000, 0.000), Mg at (0.500, 0.500, 0.500), Co at (0.000, 0.500, 0.500) and W at (0.500, 0.500, 0.000).

Compound: Ca3Pr3AgTe8
Source: Alexandria
Functional: PBE
Structure: optimized geometry

The value obtained for the density is 5.4 g/cm³. The final energy is -67.74 eV/f.u. The calculation puts the density of states at the Fermi level at 0.258 states/eV per atom. The crystal system is trigonal. The magnetization is 0.000 μB per atom.

The structure belongs to space group R-3m (No. 166, hexagonal axes); the cell edges are 9.0074, 9.0074 and 22.1336 Å and the angles 90.00°, 90.00° and 120.00°. The distinct sites, in fractional coordinates, are Ca at (0.0000, 0.5000, 0.0000), Pr at (0.0000, 0.5000, 0.5000), Ag at (0.0000, 0.0000, 0.5000), Te at (0.0000, 0.0000, 0.2515) and Te at (0.0036, 0.5018, 0.2487).

> Which value of magnetization does entry 4 give?

0.000 μB per atom